No. 1
A geometry-optimized AlCrSi structure. Source: the Alexandria database, functional PBE.

For the formation energy (no corrections), the calculation gives 191 meV per atom. The value obtained for the density of states at the Fermi level is 2.15 states/eV/f.u. As for the crystal system: cubic. The value obtained for the total magnetic moment is 12.75 μB per cell.

Lattice parameters (Å, degrees): 5.7953 5.7953 5.7953 90.00 90.00 90.00
Space group F-43m (No. 216)
Symmetry-distinct sites (fractional):
Al1 0.0000 0.0000 0.0000 x4
Cr1 0.0000 0.0000 0.5000 x4
Si1 0.2500 0.2500 0.2500 x4

***

No. 2
A geometry-optimized AlCrSi structure. Source: the Alexandria database, functional PBE.

For the formation energy (no corrections), the calculation gives -223 meV per atom. The value obtained for the density of states at the Fermi level is 2.28 states/eV/f.u. As for the crystal system: tetragonal. The value obtained for the total magnetic moment is 1.39 μB per cell.

Lattice parameters (Å, degrees): 3.0805 3.0805 8.1687 90.00 90.00 90.00
Space group I4mm (No. 107)
Symmetry-distinct sites (fractional):
Al1 0.0000 0.0000 0.0000 x2
Cr1 0.0000 0.0000 0.6738 x2
Si1 0.0000 0.0000 0.3180 x2

***

No. 3
A geometry-optimized AlCr2Si structure. Source: the Alexandria database, functional PBE.

For the formation energy (no corrections), the calculation gives 122 meV per atom. The value obtained for the density of states at the Fermi level is 3.11 states/eV/f.u. As for the crystal system: orthorhombic. The value obtained for the total magnetic moment is 0.00 μB per cell.

Lattice parameters (Å, degrees): 3.1145 4.1043 8.0695 90.00 90.00 90.00
Space group Cmm2 (No. 35)
Symmetry-distinct sites (fractional):
Al1 0.0000 0.0000 0.0000 x2
Cr1 0.0000 0.0000 0.5132 x2
Cr2 0.0000 0.5000 0.7519 x2
Si1 0.0000 0.5000 0.2844 x2

***

No. 4
A geometry-optimized AlCrSi structure. Source: the Alexandria database, functional PBE.

For the formation energy (no corrections), the calculation gives -263 meV per atom. The value obtained for the density of states at the Fermi level is 2.26 states/eV/f.u. As for the crystal system: orthorhombic. The value obtained for the total magnetic moment is 6.73 μB per cell.

Lattice parameters (Å, degrees): 4.6139 8.4866 7.9319 90.00 90.00 90.00
Space group Fdd2 (No. 43)
Symmetry-distinct sites (fractional):
Al1 0.0000 0.0000 0.0000 x8
Cr1 0.0000 0.0000 0.6657 x8
Si1 0.0000 0.0000 0.3389 x8

***

No. 5
A geometry-optimized AlCr2Si structure. Source: the Alexandria database, functional PBE.

For the formation energy (no corrections), the calculation gives 38 meV per atom. The value obtained for the density of states at the Fermi level is 1.35 states/eV/f.u. As for the crystal system: trigonal. The value obtained for the total magnetic moment is 0.00 μB per cell.

Lattice parameters (Å, degrees): 2.7746 2.7746 23.8390 90.00 90.00 120.00
Space group R3m (No. 160, hexagonal axes)
Symmetry-distinct sites (fractional):
Al1 0.0000 0.0000 0.0000 x3
Cr1 0.0000 0.0000 0.2462 x3
Cr2 0.0000 0.0000 0.5088 x3
Si1 0.0000 0.0000 0.7621 x3

***

No. 6
A geometry-optimized AlCrSi2 structure. Source: the Alexandria database, functional PBE.

For the formation energy (no corrections), the calculation gives 351 meV per atom. The value obtained for the density of states at the Fermi level is 1.72 states/eV/f.u. As for the crystal system: cubic. The value obtained for the total magnetic moment is 11.53 μB per cell.

Lattice parameters (Å, degrees): 6.1285 6.1285 6.1285 90.00 90.00 90.00
Space group F-43m (No. 216)
Symmetry-distinct sites (fractional):
Al1 0.0000 0.0000 0.0000 x4
Cr1 0.2500 0.2500 0.2500 x4
Si1 0.0000 0.0000 0.5000 x4
Si2 0.2500 0.2500 0.7500 x4

***

No. 7
A geometry-optimized AlCrSi2 structure. Source: the Alexandria database, functional PBE.

For the formation energy (no corrections), the calculation gives 86 meV per atom. The value obtained for the density of states at the Fermi level is 1.80 states/eV/f.u. As for the crystal system: trigonal. The value obtained for the total magnetic moment is 0.00 μB per cell.

Lattice parameters (Å, degrees): 2.8812 2.8812 23.0236 90.00 90.00 120.00
Space group R-3m (No. 166, hexagonal axes)
Symmetry-distinct sites (fractional):
Al1 0.0000 0.0000 0.0000 x3
Cr1 0.0000 0.0000 0.5000 x3
Si1 0.0000 0.0000 0.2427 x6

***

No. 8
A geometry-optimized Al9Cr3Si structure. Source: the Alexandria database, functional PBE.

For the formation energy (no corrections), the calculation gives -193 meV per atom. The value obtained for the density of states at the Fermi level is 6.06 states/eV/f.u. As for the crystal system: hexagonal. The value obtained for the total magnetic moment is 0.00 μB per cell.

Lattice parameters (Å, degrees): 7.5134 7.5134 7.8208 90.00 90.00 120.00
Space group P6_3/mmc (No. 194)
Symmetry-distinct sites (fractional):
Al1 0.0861 0.5430 0.2500 x6
Al2 0.2014 0.4029 0.5626 x12
Cr1 0.1160 0.2319 0.2500 x6
Si1 0.0000 0.0000 0.0000 x2

***

No. 9
A geometry-optimized AlCr2Si structure. Source: the Alexandria database, functional PBE.

For the formation energy (no corrections), the calculation gives -36 meV per atom. The value obtained for the density of states at the Fermi level is 5.07 states/eV/f.u. As for the crystal system: tetragonal. The value obtained for the total magnetic moment is 6.65 μB per cell.

Lattice parameters (Å, degrees): 3.7691 3.7691 7.2211 90.00 90.00 90.00
Space group I4/mmm (No. 139)
Symmetry-distinct sites (fractional):
Al1 0.0000 0.0000 0.0000 x2
Cr1 0.0000 0.5000 0.2500 x4
Si1 0.0000 0.0000 0.5000 x2

***

No. 10
A geometry-optimized Al2CrSi structure. Source: the Alexandria database, functional PBE.

For the formation energy (no corrections), the calculation gives 25 meV per atom. The value obtained for the density of states at the Fermi level is 1.73 states/eV/f.u. As for the crystal system: monoclinic. The value obtained for the total magnetic moment is 4.20 μB per cell.

Lattice parameters (Å, degrees): 9.1857 2.8105 4.4483 90.00 97.49 90.00
Space group C2/m (No. 12)
Symmetry-distinct sites (fractional):
Al1 0.2429 0.0000 0.2419 x4
Cr1 0.0000 0.5000 0.0000 x2
Si1 0.0000 0.0000 0.5000 x2

***

No. 11
A geometry-optimized Al2CrSi structure. Source: the Alexandria database, functional PBE.

For the formation energy (no corrections), the calculation gives 149 meV per atom. The value obtained for the density of states at the Fermi level is 1.72 states/eV/f.u. As for the crystal system: trigonal. The value obtained for the total magnetic moment is 0.00 μB per cell.

Lattice parameters (Å, degrees): 2.6892 2.6892 27.4996 90.00 90.00 120.00
Space group R-3m (No. 166, hexagonal axes)
Symmetry-distinct sites (fractional):
Al1 0.0000 0.0000 0.2428 x6
Cr1 0.0000 0.0000 0.5000 x3
Si1 0.0000 0.0000 0.0000 x3

***

No. 12
A geometry-optimized AlCrSi structure. Source: the Alexandria database, functional PBE.

For the formation energy (no corrections), the calculation gives 33 meV per atom. The value obtained for the density of states at the Fermi level is 1.13 states/eV/f.u. As for the crystal system: trigonal. The value obtained for the total magnetic moment is 0.00 μB per cell.

Lattice parameters (Å, degrees): 4.1600 4.1600 2.6424 90.00 90.00 120.00
Space group P3m1 (No. 156)
Symmetry-distinct sites (fractional):
Al1 0.0000 0.0000 0.0000 x1
Cr1 0.6667 0.3333 0.4843 x1
Si1 0.3333 0.6667 0.5550 x1

***

Please write out number 9 again, unchanged.
A geometry-optimized AlCr2Si structure. Source: the Alexandria database, functional PBE.

For the formation energy (no corrections), the calculation gives -36 meV per atom. The value obtained for the density of states at the Fermi level is 5.07 states/eV/f.u. As for the crystal system: tetragonal. The value obtained for the total magnetic moment is 6.65 μB per cell.

Lattice parameters (Å, degrees): 3.7691 3.7691 7.2211 90.00 90.00 90.00
Space group I4/mmm (No. 139)
Symmetry-distinct sites (fractional):
Al1 0.0000 0.0000 0.0000 x2
Cr1 0.0000 0.5000 0.2500 x4
Si1 0.0000 0.0000 0.5000 x2

***

Copy entry 3 word for word.
A geometry-optimized AlCr2Si structure. Source: the Alexandria database, functional PBE.

For the formation energy (no corrections), the calculation gives 122 meV per atom. The value obtained for the density of states at the Fermi level is 3.11 states/eV/f.u. As for the crystal system: orthorhombic. The value obtained for the total magnetic moment is 0.00 μB per cell.

Lattice parameters (Å, degrees): 3.1145 4.1043 8.0695 90.00 90.00 90.00
Space group Cmm2 (No. 35)
Symmetry-distinct sites (fractional):
Al1 0.0000 0.0000 0.0000 x2
Cr1 0.0000 0.0000 0.5132 x2
Cr2 0.0000 0.5000 0.7519 x2
Si1 0.0000 0.5000 0.2844 x2

***

Q: Which of these has the lowest formation energy (no corrections)?
A: number 4

***

Q: Which value of total magnetic moment does entry 6 give?
A: 11.53 μB per cell